# 1
KSc4Se | the Alexandria database | PBEsol | optimized geometry; calculated volume = 161.8 Å³ per cell; density of states at the Fermi level = 8.4 states/eV per cell; DFT total energy = -0.3540 Ry/atom
1.0
0.000 4.325 4.325
4.325 0.000 4.325
4.325 4.325 0.000
K Sc Se
1 4 1
direct
0.000 0.000 0.000 K
0.125 0.625 0.625 Sc
0.625 0.125 0.625 Sc
0.625 0.625 0.125 Sc
0.625 0.625 0.625 Sc
0.250 0.250 0.250 Se

=====

# 2
KTaIr2 | the Alexandria database | PBEsol | optimized geometry; calculated volume = 92.1 Å³ per cell; energy relative to the elements = 252 kJ/mol of formula units; distance to the lowest polymorph of the same formula = 0.000 eV per atom; density of states at the Fermi level = 4.6 states/eV per cell
1.0
3.433 0.000 0.000
0.000 3.433 0.000
0.000 0.000 7.815
K Ta Ir
1 1 2
direct
0.000 0.000 0.000 K
0.500 0.500 0.408 Ta
0.000 0.000 0.515 Ir
0.500 0.500 0.709 Ir

=====

# 3
Na2AgIr | the Alexandria database | PBEsol | optimized geometry; calculated volume = 319.7 Å³ per cell; energy relative to the elements = 327 kJ/mol of formula units; density of states at the Fermi level = 17.4 states/eV per cell
1.0
7.748 0.000 0.000
0.000 7.748 0.000
0.000 0.000 5.324
Na Ag Ir
8 4 4
direct
0.247 0.750 0.125 Na
0.250 0.247 0.875 Na
0.250 0.253 0.375 Na
0.253 0.750 0.625 Na
0.747 0.250 0.625 Na
0.750 0.747 0.375 Na
0.750 0.753 0.875 Na
0.753 0.250 0.125 Na
0.000 0.000 0.000 Ag
0.000 0.500 0.250 Ag
0.500 0.000 0.750 Ag
0.500 0.500 0.500 Ag
0.000 0.000 0.500 Ir
0.000 0.500 0.750 Ir
0.500 0.000 0.250 Ir
0.500 0.500 0.000 Ir